Record 1
Entry from Alexandria via LeMat-Bulk: an optimized crystal structure of K2AcSmTe4 (PBE-GGA).

Geometry as CIF:
```
data_K2AcSmTe4
_symmetry_space_group_name_H-M 'P 1'
_symmetry_Int_Tables_number 1
_symmetry_space_group_name_Hall 'P 1'
_cell_length_a 4.710
_cell_length_b 8.168
_cell_length_c 8.704
_cell_angle_alpha 108.14
_cell_angle_beta 90.00
_cell_angle_gamma 90.00
loop_
_atom_site_label
_atom_site_fract_x
_atom_site_fract_y
_atom_site_fract_z
Te1 0.000 0.726 0.214
Te2 0.500 0.747 0.779
Te3 0.500 0.253 0.221
Te4 0.000 0.274 0.786
K1 0.500 0.000 0.500
K2 0.000 0.500 0.500
Ac1 0.000 0.000 0.000
Sm1 0.500 0.500 0.000
```

Properties
- Space-group type: P2/m
- Total DFT energy (no corrections): -4.395 eV/atom
- Formation energy without anion corrections: -1.4462 eV/atom

=====

Record 2
Entry from Alexandria via LeMat-Bulk: an optimized crystal structure of Er2ZrI (PBE-GGA).

Geometry as CIF:
```
data_Er2ZrI
_symmetry_space_group_name_H-M 'P 1'
_symmetry_Int_Tables_number 1
_symmetry_space_group_name_Hall 'P 1'
_cell_length_a 3.635
_cell_length_b 3.635
_cell_length_c 10.210
_cell_angle_alpha 79.75
_cell_angle_beta 79.75
_cell_angle_gamma 60.00
loop_
_atom_site_label
_atom_site_fract_x
_atom_site_fract_y
_atom_site_fract_z
Er1 0.250 0.250 0.249
Er2 0.750 0.750 0.751
I1 0.000 0.000 0.000
Zr1 0.500 0.500 0.500
```

Properties
- Space-group type: R-3m
- Total DFT energy (no corrections): -5.059 eV/atom
- Formation energy without anion corrections: -0.2529 eV/atom

=====

Record 3
Entry from Alexandria via LeMat-Bulk: an optimized crystal structure of LiIn2S2 (PBE-GGA).

Geometry as CIF:
```
data_LiIn2S2
_symmetry_space_group_name_H-M 'P 1'
_symmetry_Int_Tables_number 1
_symmetry_space_group_name_Hall 'P 1'
_cell_length_a 7.545
_cell_length_b 7.545
_cell_length_c 4.041
_cell_angle_alpha 90.00
_cell_angle_beta 90.00
_cell_angle_gamma 90.00
loop_
_atom_site_label
_atom_site_fract_x
_atom_site_fract_y
_atom_site_fract_z
S1 0.790 0.710 0.000
S2 0.710 0.210 0.000
S3 0.210 0.290 0.000
S4 0.290 0.790 0.000
In1 0.867 0.367 0.500
In2 0.633 0.867 0.500
In3 0.367 0.133 0.500
In4 0.133 0.633 0.500
Li1 0.000 0.000 0.000
Li2 0.500 0.500 0.000
```

Properties
- E above lowest polymorph: 0 meV/atom
- Space-group type: P4/mbm
- Total DFT energy (no corrections): -3.560 eV/atom
- Formation energy without anion corrections: -0.4306 eV/atom

=====

Record 4
Entry from Alexandria via LeMat-Bulk: an optimized crystal structure of ZnOs3Pd (PBE-GGA).

Geometry as CIF:
```
data_ZnOs3Pd
_symmetry_space_group_name_H-M 'P 1'
_symmetry_Int_Tables_number 1
_symmetry_space_group_name_Hall 'P 1'
_cell_length_a 4.758
_cell_length_b 4.758
_cell_length_c 4.758
_cell_angle_alpha 90.00
_cell_angle_beta 90.00
_cell_angle_gamma 90.00
loop_
_atom_site_label
_atom_site_fract_x
_atom_site_fract_y
_atom_site_fract_z
Os1 0.000 0.500 0.000
Os2 0.000 0.000 0.500
Os3 0.500 0.000 0.000
Pd1 0.000 0.000 0.000
Zn1 0.500 0.500 0.500
```

Properties
- E above lowest polymorph: 526 meV/atom
- Space-group type: Pm-3m
- Total DFT energy (no corrections): -5.332 eV/atom
- DFT formation energy: 2.700 eV per atom

=====

Record 5
Entry from Alexandria via LeMat-Bulk: an optimized crystal structure of TaI2F2 (PBE-GGA).

Geometry as CIF:
```
data_TaI2F2
_symmetry_space_group_name_H-M 'P 1'
_symmetry_Int_Tables_number 1
_symmetry_space_group_name_Hall 'P 1'
_cell_length_a 6.069
_cell_length_b 6.069
_cell_length_c 6.853
_cell_angle_alpha 90.00
_cell_angle_beta 90.00
_cell_angle_gamma 90.00
loop_
_atom_site_label
_atom_site_fract_x
_atom_site_fract_y
_atom_site_fract_z
I1 0.189 0.689 0.500
I2 0.689 0.811 0.500
I3 0.311 0.189 0.500
I4 0.811 0.311 0.500
F1 0.755 0.745 0.000
F2 0.745 0.245 0.000
F3 0.255 0.755 0.000
F4 0.245 0.255 0.000
Ta1 0.500 0.500 0.000
Ta2 0.000 0.000 0.000
```

Properties
- E above lowest polymorph: 129 meV/atom
- Space-group type: P4/mbm
- Total DFT energy (no corrections): -4.490 eV/atom
- Formation energy without anion corrections: -0.7513 eV/atom

=====

Record 6
Entry from Alexandria via LeMat-Bulk: an optimized crystal structure of Zn2CrBN (PBE-GGA).

Geometry as CIF:
```
data_Zn2CrBN
_symmetry_space_group_name_H-M 'P 1'
_symmetry_Int_Tables_number 1
_symmetry_space_group_name_Hall 'P 1'
_cell_length_a 3.967
_cell_length_b 4.146
_cell_length_c 3.967
_cell_angle_alpha 90.00
_cell_angle_beta 90.00
_cell_angle_gamma 90.00
loop_
_atom_site_label
_atom_site_fract_x
_atom_site_fract_y
_atom_site_fract_z
B1 0.000 0.000 0.000
N1 0.500 0.500 0.500
Zn1 0.500 0.000 0.000
Zn2 0.000 0.000 0.500
Cr1 0.000 0.500 0.000
```

Properties
- Space-group type: P4/mmm
- Total DFT energy (no corrections): -4.475 eV/atom
- Formation energy without anion corrections: 0.9596 eV/atom

=====

Record 7
Entry from Alexandria via LeMat-Bulk: an optimized crystal structure of BaSrIn2 (PBE-GGA).

Geometry as CIF:
```
data_BaSrIn2
_symmetry_space_group_name_H-M 'P 1'
_symmetry_Int_Tables_number 1
_symmetry_space_group_name_Hall 'P 1'
_cell_length_a 6.965
_cell_length_b 6.965
_cell_length_c 6.965
_cell_angle_alpha 145.14
_cell_angle_beta 130.69
_cell_angle_gamma 61.80
loop_
_atom_site_label
_atom_site_fract_x
_atom_site_fract_y
_atom_site_fract_z
In1 0.786 0.286 0.500
In2 0.966 0.966 0.000
Ba1 0.225 0.725 0.500
Sr1 0.523 0.523 0.000
```

Properties
- Space-group type: Imm2
- Total DFT energy (no corrections): -2.623 eV/atom
- DFT formation energy: -0.353 eV per atom

=====

Record 8
Entry from Alexandria via LeMat-Bulk: an optimized crystal structure of La3Sb4Ir2 (PBE-GGA).

Geometry as CIF:
```
data_La3Sb4Ir2
_symmetry_space_group_name_H-M 'P 1'
_symmetry_Int_Tables_number 1
_symmetry_space_group_name_Hall 'P 1'
_cell_length_a 4.786
_cell_length_b 6.423
_cell_length_c 8.766
_cell_angle_alpha 101.32
_cell_angle_beta 90.00
_cell_angle_gamma 111.88
loop_
_atom_site_label
_atom_site_fract_x
_atom_site_fract_y
_atom_site_fract_z
La1 0.354 0.708 0.335
La2 0.000 0.000 0.000
La3 0.646 0.292 0.665
Sb1 0.914 0.828 0.604
Sb2 0.086 0.172 0.396
Sb3 0.274 0.549 0.915
Sb4 0.726 0.451 0.085
Ir1 0.585 0.170 0.277
Ir2 0.415 0.830 0.723
```

Properties
- Space-group type: C2/m
- Total DFT energy (no corrections): -6.266 eV/atom
- Formation energy without anion corrections: -0.8221 eV/atom

=====

Q: Which of these has the lowest total DFT energy (no corrections)?
A: La3Sb4Ir2

=====

Q: What is the total DFT energy (no corrections) in the sixth record?
A: -4.475 eV/atom

=====

Q: The highest total DFT energy (no corrections) belongs to which entry?
A: BaSrIn2

=====

What did the fifth record say?
Entry from Alexandria via LeMat-Bulk: an optimized crystal structure of TaI2F2 (PBE-GGA).

Geometry as CIF:
```
data_TaI2F2
_symmetry_space_group_name_H-M 'P 1'
_symmetry_Int_Tables_number 1
_symmetry_space_group_name_Hall 'P 1'
_cell_length_a 6.069
_cell_length_b 6.069
_cell_length_c 6.853
_cell_angle_alpha 90.00
_cell_angle_beta 90.00
_cell_angle_gamma 90.00
loop_
_atom_site_label
_atom_site_fract_x
_atom_site_fract_y
_atom_site_fract_z
I1 0.189 0.689 0.500
I2 0.689 0.811 0.500
I3 0.311 0.189 0.500
I4 0.811 0.311 0.500
F1 0.755 0.745 0.000
F2 0.745 0.245 0.000
F3 0.255 0.755 0.000
F4 0.245 0.255 0.000
Ta1 0.500 0.500 0.000
Ta2 0.000 0.000 0.000
```

Properties
- E above lowest polymorph: 129 meV/atom
- Space-group type: P4/mbm
- Total DFT energy (no corrections): -4.490 eV/atom
- Formation energy without anion corrections: -0.7513 eV/atom